(1)
Compound: AgPb5
Source: Alexandria via LeMat-Bulk
Functional: PBE
Structure: optimized geometry

a b c (Å): 5.757 3.423 18.036
angles (deg): 90.00 90.00 90.00
Space group Amm2 (No. 38)
Unique sites:
Ag1 0.000 0.000 0.000 (multiplicity 2)
Pb1 0.000 0.000 0.355 (multiplicity 2)
Pb2 0.000 0.000 0.645 (multiplicity 2)
Pb3 0.500 0.000 0.163 (multiplicity 2)
Pb4 0.500 0.000 0.495 (multiplicity 2)
Pb5 0.500 0.000 0.827 (multiplicity 2)

Summary:
- energy above the most stable polymorph in this dataset (meV per atom) = 30
- final energy (eV/cell) = -42.053



(2)
Compound: Ag4Pb5
Source: Alexandria via LeMat-Bulk
Functional: PBE
Structure: optimized geometry

a b c (Å): 9.2144 9.2144 6.2384
angles (deg): 90.00 90.00 120.00
Space group P6_3/mcm (No. 193)
Unique sites:
Ag1 0.0000 0.0000 0.0000 (multiplicity 2)
Ag2 0.0000 0.3755 0.2500 (multiplicity 6)
Pb1 0.0000 0.2845 0.7500 (multiplicity 6)
Pb2 0.3333 0.6667 0.0000 (multiplicity 4)

Summary:
- energy above the most stable polymorph in this dataset (meV per atom) = 0
- final energy (eV/cell) = -57.808



Per-record DOS(E_F), states/eV/cell: 4.33 5.37
Per-record E_form, eV per atom: 0.061 0.116